# GGA-PBE Rb2Co3Se4, relaxed
data_Rb2Co3Se4
_chemical_formula_sum 'Rb4 Co6 Se8'
_space_group_name_H-M_alt 'P 1'
_space_group_IT_number 1
_space_group_name_Hall 'P 1'
_cell_length_a 9.1649
_cell_length_b 9.1649
_cell_length_c 9.1649
_cell_angle_alpha 144.53
_cell_angle_beta 104.54
_cell_angle_gamma 86.25
loop_
_atom_site_label
_atom_site_fract_x
_atom_site_fract_y
_atom_site_fract_z
Se1 0.5357 0.9039 0.1202
Se2 0.4643 0.0961 0.8798
Se3 0.2163 0.5845 0.1202
Se4 0.0357 0.9155 0.6319
Se5 0.2837 0.4039 0.3681
Se6 0.9643 0.0845 0.3681
Se7 0.7837 0.4155 0.8798
Se8 0.7163 0.5961 0.6319
Co1 0.2500 0.7500 0.5000
Co2 0.5065 0.2500 0.2565
Co3 0.7500 0.2500 0.5000
Co4 0.0065 0.7500 0.2565
Co5 0.4935 0.7500 0.7435
Co6 0.9935 0.2500 0.7435
Rb1 0.1264 0.7489 0.8752
Rb2 0.6264 0.7511 0.3775
Rb3 0.8736 0.2511 0.1248
Rb4 0.3736 0.2489 0.6225
# size of the total moment: 0.3759 μB per atom
# E_tot: -0.171 hartree per atom
# theoretical density: 5.260 g/cm3
# SG: Ibam (72)